[1]
First-principles (PBE) data for an optimized crystal structure of Tb12Er3Pu, as listed in Alexandria.

```
Tb12Er3Pu
1.0
5.007 0.000 0.000
0.000 5.007 0.000
0.000 0.000 20.020
Tb Er Pu
12 3 1
Cartesian
0.000 0.000 0.000
0.000 0.000 4.995
0.000 0.000 10.010
0.000 0.000 15.025
0.000 2.504 2.450
0.000 2.504 7.489
0.000 2.504 12.531
0.000 2.504 17.570
2.504 0.000 2.450
2.504 0.000 7.489
2.504 0.000 12.531
2.504 0.000 17.570
2.504 2.504 4.978
2.504 2.504 10.010
2.504 2.504 15.042
2.504 2.504 0.000
```

Results
- DFT total energy: -82.9 eV for the cell shown
- Space-group type: P4/mmm (123)



[2]
First-principles (PBE) data for an optimized crystal structure of BaMnGaSn2, as listed in Alexandria.

```
BaMnGaSn2
1.0
5.154 0.000 0.000
0.000 5.154 0.000
0.000 0.000 4.932
Ba Mn Ga Sn
1 1 1 2
Cartesian
0.000 0.000 0.000
2.577 2.577 2.466
2.577 2.577 0.000
0.000 2.577 2.466
2.577 0.000 2.466
```

Results
- DFT total energy: -23.2 eV for the cell shown
- Space-group type: P4/mmm (123)



[3]
First-principles (PBE) data for an optimized crystal structure of Zr6TlZn3, as listed in Alexandria.

```
Zr6TlZn3
1.0
4.770 -6.917 0.000
4.770 6.917 0.000
0.000 0.000 6.569
Zr Tl Zn
12 2 6
Cartesian
4.770 6.407 3.285
2.597 2.662 6.454
2.561 0.480 4.416
2.561 -0.480 1.132
4.770 2.659 3.896
2.597 -2.662 3.169
6.944 2.662 6.454
4.770 -2.659 0.611
6.980 0.480 4.416
6.980 -0.480 1.132
6.944 -2.662 3.169
4.770 -6.407 0.000
4.770 4.317 1.267
4.770 -4.317 4.552
1.325 1.837 2.162
1.325 -1.837 5.446
4.770 0.629 6.199
4.770 -0.629 2.915
8.216 1.837 2.162
8.216 -1.837 5.446
```

Results
- DFT total energy: -115.0 eV for the cell shown
- Space-group type: Cmc2_1 (36)



[4]
First-principles (PBE) data for an optimized crystal structure of La2TbYSe4, as listed in Alexandria.

```
La2TbYSe4
1.0
7.227 0.000 0.000
0.000 4.144 0.000
-2.385 0.000 6.999
La Tb Y Se
2 1 1 4
Cartesian
0.000 0.000 0.000
3.614 2.072 0.000
-1.192 2.072 3.500
2.421 0.000 3.500
0.020 0.000 5.126
1.215 2.072 1.875
3.627 2.072 5.124
4.822 0.000 1.874
```

Results
- DFT total energy: -50.0 eV for the cell shown
- Space-group type: P2/m (10)



[5]
First-principles (PBE) data for an optimized crystal structure of ScTl3, as listed in Alexandria.

```
ScTl3
1.0
6.430 0.000 0.000
0.000 10.345 0.000
0.000 0.000 6.443
Sc Tl
4 12
Cartesian
0.658 2.586 0.723
2.557 7.759 3.944
3.873 2.586 2.499
5.772 7.759 5.721
0.232 2.586 3.925
1.329 5.317 5.466
1.329 10.200 5.466
1.886 0.144 2.244
1.886 5.028 2.244
2.983 7.759 0.703
3.447 2.586 5.741
4.544 5.317 4.199
4.544 10.200 4.199
5.102 0.144 0.977
5.102 5.028 0.977
6.198 7.759 2.519
```

Results
- DFT total energy: -54.4 eV for the cell shown
- Space-group type: Pnma (62)



[6]
First-principles (PBE) data for an optimized crystal structure of U5S5O2, as listed in Alexandria.

```
U5S5O2
1.0
6.206 -1.856 0.000
6.206 1.856 0.000
-3.493 0.000 9.939
U S O
5 5 2
Cartesian
0.000 0.000 0.000
-0.083 0.000 4.001
3.440 0.000 2.145
5.479 0.000 7.794
9.002 0.000 5.939
0.920 0.000 6.509
0.825 0.000 9.400
4.460 0.000 4.970
8.094 0.000 0.539
8.000 0.000 3.430
-2.328 0.000 7.902
11.247 0.000 2.037
```

Results
- DFT total energy: -108.3 eV for the cell shown
- Space-group type: C2/m (12)